ZrScTlCo, relaxed, DFT PBE-GGA; space-group type = P4mm, No. 99; total moment = 1.0 μB per cell; density of states at the Fermi level = 3.0 states/eV per cell; crystal system = tetragonal; total energy = -25.25 eV per cell
1.0
3.152 0.000 0.000
0.000 3.152 0.000
0.000 0.000 7.877
Zr Sc Tl Co
1 1 1 1
Cartesian
1.576 1.576 6.096 Zr
1.576 1.576 2.913 Sc
0.000 0.000 0.582 Tl
0.000 0.000 4.467 Co

=====

NbOsC2, relaxed, DFT PBE-GGA; space-group type = I-42d, No. 122; total moment = 0.0 μB per cell; density of states at the Fermi level = 4.2 states/eV per cell; polymorph energy (0 for the lowest one) = 0.0 meV/atom; crystal system = tetragonal; total energy = -76.02 eV per cell
1.0
4.683 0.000 0.000
0.000 4.683 0.000
2.342 2.342 4.835
Nb Os C
2 2 4
Cartesian
2.342 2.342 0.000 Nb
2.342 4.683 2.417 Nb
0.000 0.000 0.000 Os
4.683 2.342 2.417 Os
3.648 1.171 1.209 C
1.035 3.512 1.209 C
3.512 3.377 3.626 C
5.854 5.989 3.626 C

=====

ScTa2Sb, relaxed, DFT PBE-GGA; raw formation energy = 0.00 eV/atom; space-group type = Cmm2, No. 35; total moment = 0.0 μB per cell; density of states at the Fermi level = 5.0 states/eV per cell; crystal system = orthorhombic; total energy = -34.15 eV per cell
1.0
-2.098 2.139 0.817
-1.548 -2.395 -1.229
-0.650 -3.728 8.086
Sb Sc Ta
1 1 2
Cartesian
-0.318 -1.824 3.956 Sb
-2.315 -2.948 5.910 Sc
-0.007 -0.043 0.092 Ta
-1.981 -1.035 1.760 Ta

=====

Rh3Br, relaxed, DFT PBE-GGA; raw formation energy = 0.54 eV/atom; space-group type = Imm2, No. 44; total moment = 0.0 μB per cell; density of states at the Fermi level = 5.5 states/eV per cell; polymorph energy (0 for the lowest one) = 63.5 meV/atom; crystal system = orthorhombic; total energy = -21.55 eV per cell
1.0
-2.305 -1.934 4.466
-0.331 -5.339 0.619
3.105 4.361 -0.580
Rh Br
3 1
Cartesian
1.733 0.559 1.698 Rh
-0.016 0.112 3.872 Rh
0.817 -2.017 2.247 Rh
0.789 2.394 3.833 Br

=====

In2ReW, relaxed, DFT PBE-GGA; space-group type = P4/mmm, No. 123; total moment = 0.0 μB per cell; density of states at the Fermi level = 3.0 states/eV per cell; polymorph energy (0 for the lowest one) = 537.0 meV/atom; crystal system = tetragonal; total energy = -27.68 eV per cell
1.0
-3.131 2.641 1.760
-2.858 -2.116 -1.909
-0.295 -2.469 3.179
In Re W
2 1 1
Cartesian
0.000 0.000 0.000 In
-1.577 -2.292 0.635 In
-2.994 0.263 -0.074 Re
-1.713 0.086 2.470 W

=====

Th4As6Rh7, relaxed, DFT PBE-GGA; space-group type = Im-3m, No. 229; total moment = 0.0 μB per cell; density of states at the Fermi level = 10.0 states/eV per cell; crystal system = cubic; total energy = -125.25 eV per cell
1.0
7.032 0.000 -2.486
-3.516 6.089 -2.486
0.000 0.000 7.458
Th As Rh
4 6 7
Cartesian
3.516 0.000 -1.243 Th
1.758 3.045 1.243 Th
-1.758 3.045 -1.243 Th
0.000 0.000 3.729 Th
4.810 0.000 3.402 As
2.405 4.166 -3.402 As
-1.111 1.923 1.571 As
2.221 0.000 1.571 As
1.111 1.923 -1.571 As
-2.405 4.166 3.402 As
3.516 3.045 -1.243 Rh
-0.879 4.567 1.243 Rh
0.879 4.567 -1.243 Rh
4.395 1.522 1.243 Rh
0.000 3.045 3.729 Rh
2.637 1.522 3.729 Rh
0.000 0.000 0.000 Rh